Entry 1:
# Be2InPt GGA-PBE optimized geometry
data_Be2InPt
_space_group_name_H-M_alt 'I 41/a m d'
_space_group_IT_number 141
_cell_length_a 4.228
_cell_length_b 4.228
_cell_length_c 15.517
_cell_angle_alpha 90.00
_cell_angle_beta 90.00
_cell_angle_gamma 90.00
loop_
_space_group_symop_operation_xyz
'x,y,z'
'-x,-y,-z'
'-y+1/4,x+3/4,z+1/4'
'y+1/4,-x+3/4,-z+1/4'
'-x+1/2,-y,z+1/2'
'x+1/2,y,-z+1/2'
'y+1/4,-x+1/4,z+3/4'
'-y+1/4,x+1/4,-z+3/4'
'x,-y,-z'
'-x,y,z'
'-y+1/4,-x+1/4,-z+3/4'
'y+1/4,x+1/4,z+3/4'
'-x+1/2,y,-z+1/2'
'x+1/2,-y,z+1/2'
'y+1/4,x+3/4,-z+1/4'
'-y+1/4,-x+3/4,z+1/4'
'x+1/2,y+1/2,z+1/2'
'-x+1/2,-y+1/2,-z+1/2'
'-y+3/4,x+1/4,z+3/4'
'y+3/4,-x+1/4,-z+3/4'
'-x,-y+1/2,z'
'x,y+1/2,-z'
'y+3/4,-x+3/4,z+1/4'
'-y+3/4,x+3/4,-z+1/4'
'x+1/2,-y+1/2,-z+1/2'
'-x+1/2,y+1/2,z+1/2'
'-y+3/4,-x+3/4,-z+1/4'
'y+3/4,x+3/4,z+1/4'
'-x,y+1/2,-z'
'x,-y+1/2,z'
'y+3/4,x+1/4,-z+3/4'
'-y+3/4,-x+1/4,z+3/4'
loop_
_atom_site_label
_atom_site_type_symbol
_atom_site_fract_x
_atom_site_fract_y
_atom_site_fract_z
Be1 Be 0.000 0.000 0.000
In1 In 0.000 0.250 0.375
Pt1 Pt 0.000 0.250 0.875
# E_form: 0.04 eV/atom
# Crystal system: tetragonal

Entry 2:
# Li3HO GGA-PBE optimized geometry
data_Li3HO
_space_group_name_H-M_alt 'A m m 2'
_space_group_IT_number 38
_cell_length_a 3.019
_cell_length_b 5.467
_cell_length_c 8.120
_cell_angle_alpha 90.00
_cell_angle_beta 90.00
_cell_angle_gamma 90.00
loop_
_space_group_symop_operation_xyz
'x,y,z'
'-x,-y,z'
'-x,y,z'
'x,-y,z'
'x,y+1/2,z+1/2'
'-x,-y+1/2,z+1/2'
'-x,y+1/2,z+1/2'
'x,-y+1/2,z+1/2'
loop_
_atom_site_label
_atom_site_type_symbol
_atom_site_fract_x
_atom_site_fract_y
_atom_site_fract_z
Li1 Li 0.000 0.000 0.000
Li2 Li 0.500 0.202 0.261
H1 H 0.500 0.000 0.870
O1 O 0.000 0.000 0.226
# Electronic total energy: -3.9286 eV/atom
# Crystal system: orthorhombic

Entry 3:
# NdGaRu2C GGA-PBE optimized geometry
data_NdGaRu2C
_space_group_name_H-M_alt 'C m c m'
_space_group_IT_number 63
_space_group_name_Hall '-C 2c 2'
_cell_length_a 4.054
_cell_length_b 11.125
_cell_length_c 7.350
_cell_angle_alpha 90.00
_cell_angle_beta 90.00
_cell_angle_gamma 90.00
loop_
_atom_site_label
_atom_site_type_symbol
_atom_site_fract_x
_atom_site_fract_y
_atom_site_fract_z
Nd1 Nd 0.000 0.049 0.250
Ga1 Ga 0.000 0.228 0.750
Ru1 Ru 0.000 0.336 0.058
C1 C 0.000 0.500 0.000
# E_form: -0.36 eV/atom
# Crystal system: orthorhombic

Entry 4:
# YNi2Te GGA-PBE optimized geometry
data_YNi2Te
_space_group_name_H-M_alt 'I -4 2 d'
_space_group_IT_number 122
_space_group_name_Hall 'I -4 2bw'
_cell_length_a 4.536
_cell_length_b 4.536
_cell_length_c 16.534
_cell_angle_alpha 90.00
_cell_angle_beta 90.00
_cell_angle_gamma 90.00
loop_
_atom_site_label
_atom_site_type_symbol
_atom_site_fract_x
_atom_site_fract_y
_atom_site_fract_z
Y1 Y 0.000 0.000 0.000
Ni1 Ni 0.116 0.250 0.625
Te1 Te 0.000 0.000 0.500
# Electronic total energy: -5.5069 eV/atom
# Crystal system: tetragonal

Entry 5:
# LiSc2Ru GGA-PBE optimized geometry
data_LiSc2Ru
_space_group_name_H-M_alt 'R -3 m'
_space_group_IT_number 166
_space_group_name_Hall '-R 3 2"'
_cell_length_a 3.2229
_cell_length_b 3.2229
_cell_length_c 27.5900
_cell_angle_alpha 90.00
_cell_angle_beta 90.00
_cell_angle_gamma 120.00
loop_
_atom_site_label
_atom_site_type_symbol
_atom_site_fract_x
_atom_site_fract_y
_atom_site_fract_z
Li1 Li 0.0000 0.0000 0.0000
Sc1 Sc 0.0000 0.0000 0.2353
Ru1 Ru 0.0000 0.0000 0.5000
# E_form: -0.09 eV/atom
# Crystal system: trigonal

Entry 6:
# SrCd3 GGA-PBE optimized geometry
data_SrCd3
_space_group_name_H-M_alt 'P 4/m m m'
_space_group_IT_number 123
_space_group_name_Hall '-P 4 2'
_cell_length_a 3.948
_cell_length_b 3.948
_cell_length_c 7.237
_cell_angle_alpha 90.00
_cell_angle_beta 90.00
_cell_angle_gamma 90.00
loop_
_atom_site_label
_atom_site_type_symbol
_atom_site_fract_x
_atom_site_fract_y
_atom_site_fract_z
Sr1 Sr 0.000 0.000 0.000
Cd1 Cd 0.000 0.000 0.500
Cd2 Cd 0.500 0.500 0.289
# E_form: -0.18 eV/atom
# Crystal system: tetragonal